<P>
First-principles (GGA-PBE) data for crystalline Sc2Pd2Au at its relaxed geometry, as listed in the Alexandria database.

The structure in CIF format:
```
data_Sc2Pd2Au
_chemical_formula_sum 'Sc2 Pd2 Au1'
_space_group_name_H-M_alt 'P 1'
_space_group_IT_number 1
_space_group_name_Hall 'P 1'
_cell_length_a 5.0250
_cell_length_b 5.0250
_cell_length_c 5.3639
_cell_angle_alpha 62.07
_cell_angle_beta 62.07
_cell_angle_gamma 90.00
loop_
_atom_site_label
_atom_site_type_symbol
_atom_site_fract_x
_atom_site_fract_y
_atom_site_fract_z
Sc1 Sc 0.7500 0.2500 0.5000
Sc2 Sc 0.2500 0.7500 0.5000
Au1 Au 0.0000 0.0000 0.0000
Pd1 Pd 0.3441 0.3441 0.3118
Pd2 Pd 0.6559 0.6559 0.6882
```

---

<Q>
First-principles (GGA-PBE) data for crystalline Sc2Pd2Au at its relaxed geometry, as listed in the Alexandria database.

The structure in CIF format:
```
data_Sc2Pd2Au
_chemical_formula_sum 'Sc4 Pd4 Au2'
_space_group_name_H-M_alt 'P 1'
_space_group_IT_number 1
_space_group_name_Hall 'P 1'
_cell_length_a 5.3323
_cell_length_b 7.5751
_cell_length_c 10.7722
_cell_angle_alpha 150.85
_cell_angle_beta 104.33
_cell_angle_gamma 90.00
loop_
_atom_site_label
_atom_site_type_symbol
_atom_site_fract_x
_atom_site_fract_y
_atom_site_fract_z
Sc1 Sc 0.0171 0.9783 0.3304
Sc2 Sc 0.3132 0.4783 0.3304
Sc3 Sc 0.9829 0.0217 0.6696
Sc4 Sc 0.6868 0.5217 0.6696
Pd1 Pd 0.5148 0.2822 0.7580
Pd2 Pd 0.7568 0.2178 0.2420
Pd3 Pd 0.4852 0.7178 0.2420
Pd4 Pd 0.2432 0.7822 0.7580
Au1 Au 0.2091 0.7500 0.0000
Au2 Au 0.7909 0.2500 0.0000
```

---

<Q> ends up most stable, edging out the next structure by 20.9 kJ/mol of atoms.

---

<P>
First-principles (GGA-PBE) data for crystalline Sc2Pd2Au at its relaxed geometry, as listed in the Alexandria database.

The structure in CIF format:
```
data_Sc2Pd2Au
_chemical_formula_sum 'Sc4 Pd4 Au2'
_space_group_name_H-M_alt 'P 1'
_space_group_IT_number 1
_space_group_name_Hall 'P 1'
_cell_length_a 7.4598
_cell_length_b 7.4598
_cell_length_c 3.3242
_cell_angle_alpha 90.00
_cell_angle_beta 90.00
_cell_angle_gamma 90.00
loop_
_atom_site_label
_atom_site_type_symbol
_atom_site_fract_x
_atom_site_fract_y
_atom_site_fract_z
Sc1 Sc 0.1709 0.6709 0.5000
Sc2 Sc 0.6709 0.8291 0.5000
Sc3 Sc 0.8291 0.3291 0.5000
Sc4 Sc 0.3291 0.1709 0.5000
Au1 Au 0.0000 0.0000 0.0000
Au2 Au 0.5000 0.5000 0.0000
Pd1 Pd 0.3691 0.8691 0.0000
Pd2 Pd 0.8691 0.6309 0.0000
Pd3 Pd 0.6309 0.1309 0.0000
Pd4 Pd 0.1309 0.3691 0.0000
```

---

<Q>
First-principles (GGA-PBE) data for crystalline Sc2Pd2Au at its relaxed geometry, as listed in the Alexandria database.

The structure in CIF format:
```
data_Sc2Pd2Au
_chemical_formula_sum 'Sc2 Pd2 Au1'
_space_group_name_H-M_alt 'P 1'
_space_group_IT_number 1
_space_group_name_Hall 'P 1'
_cell_length_a 4.1077
_cell_length_b 4.1077
_cell_length_c 6.3895
_cell_angle_alpha 89.95
_cell_angle_beta 89.95
_cell_angle_gamma 106.08
loop_
_atom_site_label
_atom_site_type_symbol
_atom_site_fract_x
_atom_site_fract_y
_atom_site_fract_z
Sc1 Sc 0.5007 0.5007 0.7507
Sc2 Sc 0.4993 0.4993 0.2493
Pd1 Pd 0.1914 0.8086 0.5000
Pd2 Pd 0.8086 0.1914 0.5000
Au1 Au 0.0000 0.0000 0.0000
```

---

<P> ends up most stable, edging out the next structure by 32.4 kJ/mol of atoms.

---

<P>
First-principles (GGA-PBE) data for crystalline Sc2Pd2Au at its relaxed geometry, as listed in the Alexandria database.

The structure in CIF format:
```
data_Sc2Pd2Au
_chemical_formula_sum 'Sc2 Pd2 Au1'
_space_group_name_H-M_alt 'P 1'
_space_group_IT_number 1
_space_group_name_Hall 'P 1'
_cell_length_a 3.7382
_cell_length_b 3.7382
_cell_length_c 7.5547
_cell_angle_alpha 75.68
_cell_angle_beta 75.68
_cell_angle_gamma 90.00
loop_
_atom_site_label
_atom_site_type_symbol
_atom_site_fract_x
_atom_site_fract_y
_atom_site_fract_z
Sc1 Sc 0.3903 0.3903 0.2194
Sc2 Sc 0.6097 0.6097 0.7806
Au1 Au 0.0000 0.0000 0.0000
Pd1 Pd 0.7500 0.2500 0.5000
Pd2 Pd 0.2500 0.7500 0.5000
```

---

<Q>
First-principles (GGA-PBE) data for crystalline Sc2Pd2Au at its relaxed geometry, as listed in the Alexandria database.

The structure in CIF format:
```
data_Sc2Pd2Au
_chemical_formula_sum 'Sc4 Pd4 Au2'
_space_group_name_H-M_alt 'P 1'
_space_group_IT_number 1
_space_group_name_Hall 'P 1'
_cell_length_a 7.6828
_cell_length_b 7.6828
_cell_length_c 3.2138
_cell_angle_alpha 90.00
_cell_angle_beta 90.00
_cell_angle_gamma 90.00
loop_
_atom_site_label
_atom_site_type_symbol
_atom_site_fract_x
_atom_site_fract_y
_atom_site_fract_z
Sc1 Sc 0.3405 0.8405 0.0000
Sc2 Sc 0.8405 0.6595 0.0000
Sc3 Sc 0.6595 0.1595 0.0000
Sc4 Sc 0.1595 0.3405 0.0000
Au1 Au 0.0000 0.0000 0.0000
Au2 Au 0.5000 0.5000 0.0000
Pd1 Pd 0.1343 0.6343 0.5000
Pd2 Pd 0.6343 0.8657 0.5000
Pd3 Pd 0.8657 0.3657 0.5000
Pd4 Pd 0.3657 0.1343 0.5000
```

---

<Q> ends up most stable, edging out the next structure by 2.1 kJ/mol of atoms.

---

<P>
First-principles (GGA-PBE) data for crystalline Sc4Pd7Au at its relaxed geometry, as listed in the Alexandria database.

The structure in CIF format:
```
data_Sc4Pd7Au
_chemical_formula_sum 'Sc4 Pd7 Au1'
_space_group_name_H-M_alt 'P 1'
_space_group_IT_number 1
_space_group_name_Hall 'P 1'
_cell_length_a 5.3045
_cell_length_b 9.5558
_cell_length_c 7.0020
_cell_angle_alpha 85.59
_cell_angle_beta 40.96
_cell_angle_gamma 71.96
loop_
_atom_site_label
_atom_site_type_symbol
_atom_site_fract_x
_atom_site_fract_y
_atom_site_fract_z
Sc1 Sc 0.5174 0.2205 0.6101
Sc2 Sc 0.4827 0.7794 0.3899
Sc3 Sc 0.5842 0.7200 0.8594
Sc4 Sc 0.4160 0.2800 0.1406
Pd1 Pd 0.8612 0.9001 0.4500
Pd2 Pd 0.1387 0.0999 0.5500
Pd3 Pd 0.0735 0.5799 0.2892
Pd4 Pd 0.9266 0.4202 0.7108
Pd5 Pd 0.2510 0.5777 0.7885
Pd6 Pd 0.4995 0.0002 0.0001
Pd7 Pd 0.7491 0.4224 0.2115
Au1 Au 0.9999 0.9998 0.9999
```

---

<Q>
First-principles (GGA-PBE) data for crystalline Sc4Pd7Au at its relaxed geometry, as listed in the Alexandria database.

The structure in CIF format:
```
data_Sc4Pd7Au
_chemical_formula_sum 'Sc4 Pd7 Au1'
_space_group_name_H-M_alt 'P 1'
_space_group_IT_number 1
_space_group_name_Hall 'P 1'
_cell_length_a 5.0383
_cell_length_b 9.0099
_cell_length_c 5.7899
_cell_angle_alpha 79.89
_cell_angle_beta 64.21
_cell_angle_gamma 73.76
loop_
_atom_site_label
_atom_site_type_symbol
_atom_site_fract_x
_atom_site_fract_y
_atom_site_fract_z
Sc1 Sc 0.5918 0.2136 0.6029
Sc2 Sc 0.4082 0.7864 0.3971
Sc3 Sc 0.7941 0.6360 0.7759
Sc4 Sc 0.2059 0.3640 0.2241
Pd1 Pd 0.7893 0.9071 0.5143
Pd2 Pd 0.2107 0.0929 0.4857
Pd3 Pd 0.0728 0.6817 0.1728
Pd4 Pd 0.9272 0.3183 0.8272
Pd5 Pd 0.3672 0.5154 0.7502
Pd6 Pd 0.5000 0.0000 0.0000
Pd7 Pd 0.6328 0.4846 0.2498
Au1 Au 0.0000 0.0000 0.0000
```

---

<P> ends up most stable, edging out the next structure by 19.1 kJ/mol of atoms.

---

<P>
First-principles (GGA-PBE) data for crystalline ScPd7Au4 at its relaxed geometry, as listed in the Alexandria database.

The structure in CIF format:
```
data_ScPd7Au4
_chemical_formula_sum 'Sc1 Pd7 Au4'
_space_group_name_H-M_alt 'P 1'
_space_group_IT_number 1
_space_group_name_Hall 'P 1'
_cell_length_a 4.8859
_cell_length_b 9.0671
_cell_length_c 5.5709
_cell_angle_alpha 83.85
_cell_angle_beta 63.99
_cell_angle_gamma 74.37
loop_
_atom_site_label
_atom_site_type_symbol
_atom_site_fract_x
_atom_site_fract_y
_atom_site_fract_z
Sc1 Sc 0.0000 0.0000 0.0000
Pd1 Pd 0.8023 0.9194 0.4760
Pd2 Pd 0.1977 0.0806 0.5240
Pd3 Pd 0.0384 0.6195 0.3038
Pd4 Pd 0.9616 0.3805 0.6962
Pd5 Pd 0.3458 0.5402 0.7682
Pd6 Pd 0.5000 0.0000 0.0000
Pd7 Pd 0.6542 0.4598 0.2318
Au1 Au 0.5896 0.2279 0.5929
Au2 Au 0.4104 0.7721 0.4071
Au3 Au 0.7262 0.6908 0.8568
Au4 Au 0.2738 0.3092 0.1432
```

---

<Q>
First-principles (GGA-PBE) data for crystalline ScPd7Au4 at its relaxed geometry, as listed in the Alexandria database.

The structure in CIF format:
```
data_ScPd7Au4
_chemical_formula_sum 'Sc1 Pd7 Au4'
_space_group_name_H-M_alt 'P 1'
_space_group_IT_number 1
_space_group_name_Hall 'P 1'
_cell_length_a 5.7453
_cell_length_b 7.5842
_cell_length_c 7.5796
_cell_angle_alpha 68.33
_cell_angle_beta 78.00
_cell_angle_gamma 40.51
loop_
_atom_site_label
_atom_site_type_symbol
_atom_site_fract_x
_atom_site_fract_y
_atom_site_fract_z
Sc1 Sc 0.0000 0.0000 0.0000
Pd1 Pd 0.7466 0.5018 0.9994
Pd2 Pd 0.2534 0.4982 0.0006
Pd3 Pd 0.9986 0.3277 0.6742
Pd4 Pd 0.0014 0.6723 0.3258
Pd5 Pd 0.2499 0.8305 0.6724
Pd6 Pd 0.5000 0.0000 0.0000
Pd7 Pd 0.7501 0.1695 0.3276
Au1 Au 0.5029 0.6665 0.3330
Au2 Au 0.4971 0.3335 0.6670
Au3 Au 0.7475 0.8315 0.6690
Au4 Au 0.2525 0.1685 0.3310
```

---

<Q> ends up most stable, edging out the next structure by 23.0 kJ/mol of atoms.